(1)
Material: NaMo4O6
Method: DFT, PBE with a Hubbard U
State: optimized geometry

POSCAR file:
```
NaMo4O6
1.0
10.0298 0.0000 0.0000
0.0000 10.0298 0.0000
0.0000 0.0000 3.2640
Na Mo O
2 8 12
Direct
0.0000 0.0000 0.0000
0.5000 0.5000 0.0000
0.1165 0.3835 0.5000
0.1532 0.6532 0.0000
0.3468 0.1532 0.0000
0.3835 0.8835 0.5000
0.6165 0.1165 0.5000
0.6532 0.8468 0.0000
0.8468 0.3468 0.0000
0.8835 0.6165 0.5000
0.0487 0.7467 0.5000
0.2034 0.2966 0.0000
0.2467 0.5487 0.5000
0.2533 0.0487 0.5000
0.2966 0.7966 0.0000
0.4513 0.2467 0.5000
0.5487 0.7533 0.5000
0.7034 0.2034 0.0000
0.7467 0.9513 0.5000
0.7533 0.4513 0.5000
0.7966 0.7034 0.0000
0.9513 0.2533 0.5000
```

Space-group type: P4/mbm
VASP energy, eV/atom: -6.65
Crystal system: tetragonal

=====

(2)
Material: Na2MoO4
Method: DFT, PBE with a Hubbard U
State: optimized geometry

POSCAR file:
```
Na2MoO4
1.0
0.0000 4.6203 4.6203
4.6203 0.0000 4.6203
4.6203 4.6203 0.0000
Na Mo O
4 2 8
Direct
0.0000 0.0000 0.0000
0.0000 0.0000 0.5000
0.0000 0.5000 0.0000
0.5000 0.0000 0.0000
0.3750 0.3750 0.3750
0.6250 0.6250 0.6250
0.2622 0.2622 0.2622
0.2622 0.2622 0.7133
0.2622 0.7133 0.2622
0.2867 0.7378 0.7378
0.7133 0.2622 0.2622
0.7378 0.2867 0.7378
0.7378 0.7378 0.2867
0.7378 0.7378 0.7378
```

Space-group type: Fd-3m
VASP energy, eV/atom: -6.06
Crystal system: cubic

=====

(3)
Material: Na2MoO4
Method: DFT, PBE with a Hubbard U
State: optimized geometry

POSCAR file:
```
Na2MoO4
1.0
6.1673 0.0000 0.0000
0.0000 6.2740 0.0000
-0.9238 0.0000 6.5222
Na Mo O
4 2 8
Direct
0.1665 0.2500 0.0555
0.3051 0.2500 0.6115
0.6949 0.7500 0.3885
0.8335 0.7500 0.9445
0.3132 0.7500 0.8334
0.6868 0.2500 0.1666
0.1347 0.5203 0.7929
0.1347 0.9797 0.7929
0.4442 0.7500 0.0918
0.4745 0.2500 0.3283
0.5255 0.7500 0.6717
0.5558 0.2500 0.9082
0.8653 0.0203 0.2071
0.8653 0.4797 0.2071
```

Space-group type: P2_1/m
VASP energy, eV/atom: -6.00
Crystal system: monoclinic

=====

(4)
Material: NaMo3O8
Method: DFT, PBE with a Hubbard U
State: optimized geometry

POSCAR file:
```
NaMo3O8
1.0
4.6594 -2.9879 0.0000
4.6594 2.9879 0.0000
-0.2609 0.0000 7.1140
Na Mo O
1 3 8
Direct
0.0000 0.0000 0.0000
0.0000 0.0000 0.5000
0.3516 0.3516 0.2643
0.6484 0.6484 0.7357
0.2112 0.7156 0.2844
0.2216 0.2216 0.4438
0.2622 0.2622 0.0450
0.2844 0.7888 0.7156
0.7156 0.2112 0.2844
0.7378 0.7378 0.9550
0.7784 0.7784 0.5562
0.7888 0.2844 0.7156
```

Space-group type: C2/m
VASP energy, eV/atom: -6.90
Crystal system: monoclinic

=====

(5)
Material: Na3MoO4
Method: DFT, PBE with a Hubbard U
State: optimized geometry

POSCAR file:
```
Na3MoO4
1.0
7.4746 0.0000 0.0000
0.0000 6.1870 0.0000
0.0000 0.0000 5.6735
Na Mo O
6 2 8
Direct
0.0000 0.1516 0.0000
0.2440 0.3336 0.5063
0.2560 0.6664 0.0063
0.5000 0.8484 0.5000
0.7440 0.6664 0.0063
0.7560 0.3336 0.5063
0.0000 0.8281 0.5159
0.5000 0.1719 0.0159
0.0000 0.1156 0.4098
0.0000 0.7977 0.8440
0.2158 0.7018 0.4181
0.2842 0.2982 0.9181
0.5000 0.2023 0.3440
0.5000 0.8844 0.9098
0.7158 0.2982 0.9181
0.7842 0.7018 0.4181
```

Space-group type: Pmn2_1
VASP energy, eV/atom: -5.57
Crystal system: orthorhombic

=====

(6)
Material: Na2MoO3
Method: DFT, PBE with a Hubbard U
State: optimized geometry

POSCAR file:
```
Na2MoO3
1.0
6.9389 0.0000 0.0000
0.0000 4.4866 0.0000
0.0000 0.0000 11.5371
Na Mo O
8 4 12
Direct
0.1494 0.2500 0.1730
0.1511 0.2500 0.8251
0.3489 0.7500 0.3251
0.3506 0.7500 0.6730
0.6494 0.2500 0.3270
0.6511 0.2500 0.6749
0.8489 0.7500 0.1749
0.8506 0.7500 0.8270
0.1670 0.2500 0.4994
0.3330 0.7500 0.9994
0.6670 0.2500 0.0006
0.8330 0.7500 0.5006
0.1244 0.7500 0.4995
0.1898 0.7500 0.1410
0.1921 0.7500 0.8570
0.3079 0.2500 0.3570
0.3102 0.2500 0.6410
0.3756 0.2500 0.9995
0.6244 0.7500 0.0005
0.6898 0.7500 0.3590
0.6921 0.7500 0.6430
0.8079 0.2500 0.1430
0.8102 0.2500 0.8590
0.8756 0.2500 0.5005
```

Space-group type: Pnma
VASP energy, eV/atom: -5.75
Crystal system: orthorhombic

=====

(7)
Material: Na2MoO4
Method: DFT, PBE with a Hubbard U
State: optimized geometry

POSCAR file:
```
Na2MoO4
1.0
7.3158 0.0000 0.0000
0.0000 5.4458 2.7781
0.0000 -5.4458 2.7781
Na Mo O
4 2 8
Direct
0.0000 0.0000 0.0000
0.2500 0.6603 0.3805
0.5000 0.0000 0.0000
0.7500 0.3805 0.6603
0.2500 0.3210 0.7103
0.7500 0.7103 0.3210
0.0523 0.5236 0.7768
0.2500 0.0410 0.3582
0.2500 0.2195 0.9379
0.4477 0.5236 0.7768
0.5523 0.7768 0.5236
0.7500 0.3582 0.0410
0.7500 0.9379 0.2195
0.9477 0.7768 0.5236
```

Space-group type: Ama2
VASP energy, eV/atom: -6.02
Crystal system: orthorhombic

=====

(8)
Material: NaMo3O9
Method: DFT, PBE with a Hubbard U
State: optimized geometry

POSCAR file:
```
NaMo3O9
1.0
4.5947 -6.5870 0.0000
4.5947 6.5870 0.0000
0.0000 0.0000 8.9601
Na Mo O
2 6 18
Direct
0.1116 0.1116 0.0000
0.8884 0.8884 0.5000
0.2500 0.2500 0.5000
0.2619 0.6552 0.9524
0.3448 0.7381 0.5476
0.6552 0.2619 0.0476
0.7381 0.3448 0.4524
0.7500 0.7500 0.0000
0.1317 0.1476 0.3430
0.1372 0.7576 0.0500
0.1476 0.1317 0.6570
0.1790 0.4240 0.9729
0.2424 0.8628 0.4500
0.2604 0.4878 0.4961
0.2701 0.7299 0.7500
0.4240 0.1790 0.0271
0.4878 0.2604 0.5039
0.5122 0.7396 0.0039
0.5760 0.8210 0.5271
0.7299 0.2701 0.2500
0.7396 0.5122 0.9961
0.7576 0.1372 0.9500
0.8210 0.5760 0.4729
0.8524 0.8683 0.1570
0.8628 0.2424 0.5500
0.8683 0.8524 0.8430
```

Space-group type: C222_1
VASP energy, eV/atom: -6.69
Crystal system: orthorhombic

=====

no.,magnetic moment (μB/f.u.)
1,11.00
2,0.00
3,0.00
4,3.00
5,1.00
6,2.00
7,0.00
8,1.00